Record 1
Here is a geometry-optimized In2CuAu structure from the Alexandria database. Energies are from PBE.

Values from the calculation:
For the formation enthalpy at 0 K, the calculation gives -81 meV per atom.

Cell: 4.211 3.664 5.604 Å, 69.41 90.00 90.00°
Atoms (fractional coordinates):
In  0.000  0.973  0.920
In  0.500  0.282  0.313
Cu  0.500  0.548  0.793
Au  0.000  0.697  0.474

=====

Record 2
Here is a geometry-optimized TmSi2O5 structure from the Alexandria database. Energies are from PBE.

Values from the calculation:
The calculation puts the uncorrected formation energy at -2576.9 meV per atom.

Cell: 3.206 4.974 12.839 Å, 90.00 90.00 90.00°
Atoms (fractional coordinates):
Tm  0.000  0.026  0.500
Tm  0.500  0.974  0.000
Si  0.000  0.485  0.873
Si  0.500  0.515  0.627
Si  0.000  0.485  0.127
Si  0.500  0.515  0.373
O  0.500  0.595  0.841
O  0.000  0.162  0.899
O  0.500  0.838  0.399
O  0.500  0.365  0.500
O  0.000  0.635  0.000
O  0.000  0.405  0.659
O  0.500  0.838  0.601
O  0.500  0.595  0.159
O  0.000  0.162  0.101
O  0.000  0.405  0.341

=====

Repeat the first record exactly.
Here is a geometry-optimized In2CuAu structure from the Alexandria database. Energies are from PBE.

Values from the calculation:
For the formation enthalpy at 0 K, the calculation gives -81 meV per atom.

Cell: 4.211 3.664 5.604 Å, 69.41 90.00 90.00°
Atoms (fractional coordinates):
In  0.000  0.973  0.920
In  0.500  0.282  0.313
Cu  0.500  0.548  0.793
Au  0.000  0.697  0.474